(1)
Entry from the Alexandria database: a relaxed AcCeY2 crystal (PBE).

Computed properties:
* polymorph energy (0 for the lowest one): 0.0000 eV per atom
* energy relative to the elements: 0.093 eV per atom

a b c (Å): 3.6869 3.6869 35.2390
angles (deg): 90.00 90.00 120.00
Space group R-3m (No. 166, hexagonal axes)
Asymmetric unit:
Ac 0.0000 0.0000 0.0000 (multiplicity 3)
Ce 0.0000 0.0000 0.5000 (multiplicity 3)
Y 0.0000 0.0000 0.2465 (multiplicity 6)


(2)
Entry from the Alexandria database: a relaxed YEr3Tl crystal (PBE).

Computed properties:
* polymorph energy (0 for the lowest one): 0.0788 eV per atom
* energy relative to the elements: -0.041 eV per atom

a b c (Å): 14.514 13.059 6.516
angles (deg): 90.00 103.90 90.00
Space group C2/c (No. 15)
Asymmetric unit:
Y 0.105 0.068 0.461 (multiplicity 8)
Er 0.098 0.190 0.973 (multiplicity 8)
Er 0.189 0.314 0.641 (multiplicity 8)
Er 0.197 0.426 0.142 (multiplicity 8)
Tl 0.000 0.329 0.250 (multiplicity 4)
Tl 0.000 0.418 0.750 (multiplicity 4)


(3)
Entry from the Alexandria database: a relaxed SrAcCe crystal (PBE).

Computed properties:
* polymorph energy (0 for the lowest one): 0.0000 eV per atom
* energy relative to the elements: 0.127 eV per atom

a b c (Å): 3.938 3.938 16.008
angles (deg): 90.00 90.00 90.00
Space group P4/nmm (No. 129, origin choice 2)
Asymmetric unit:
Sr 0.250 0.250 0.102 (multiplicity 2)
Ac 0.250 0.250 0.705 (multiplicity 2)
Ce 0.250 0.250 0.457 (multiplicity 2)


(4)
Entry from the Alexandria database: a relaxed Li2Dy3Cd7 crystal (PBE).

Computed properties:
* energy relative to the elements: -0.143 eV per atom

a b c (Å): 4.996 5.152 11.432
angles (deg): 90.00 98.51 90.00
Space group P2/m (No. 10)
Asymmetric unit:
Li 0.112 0.000 0.297 (multiplicity 2)
Dy 0.000 0.000 0.000 (multiplicity 1)
Dy 0.413 0.500 0.672 (multiplicity 2)
Cd 0.039 0.500 0.161 (multiplicity 2)
Cd 0.265 0.000 0.543 (multiplicity 2)
Cd 0.440 0.000 0.830 (multiplicity 2)
Cd 0.500 0.500 0.000 (multiplicity 1)


(5)
Entry from the Alexandria database: a relaxed SeBr3F crystal (PBE).

Computed properties:
* polymorph energy (0 for the lowest one): 1.1233 eV per atom
* E_form (uncorrected): 0.64 eV/atom

a b c (Å): 5.069 5.069 5.069
angles (deg): 90.00 90.00 90.00
Space group Pm-3m (No. 221)
Asymmetric unit:
Se 0.000 0.000 0.000 (multiplicity 1)
Br 0.000 0.500 0.500 (multiplicity 3)
F 0.500 0.500 0.500 (multiplicity 1)


(6)
Entry from the Alexandria database: a relaxed AgSbRh crystal (PBE).

Computed properties:
* polymorph energy (0 for the lowest one): 0.0389 eV per atom
* E_form (uncorrected): -0.10 eV/atom

a b c (Å): 3.420 3.420 9.527
angles (deg): 90.00 90.00 90.00
Space group I4mm (No. 107)
Asymmetric unit:
Ag 0.000 0.000 0.000 (multiplicity 2)
Sb 0.000 0.000 0.307 (multiplicity 2)
Rh 0.000 0.000 0.681 (multiplicity 2)


(7)
Entry from the Alexandria database: a relaxed LiAg3 crystal (PBE).

Computed properties:
* energy relative to the elements: 0.668 eV per atom

a b c (Å): 4.646 4.646 4.646
angles (deg): 90.00 90.00 90.00
Space group Pm-3m (No. 221)
Asymmetric unit:
Li 0.000 0.000 0.000 (multiplicity 1)
Ag 0.000 0.000 0.500 (multiplicity 3)


(8)
Entry from the Alexandria database: a relaxed Ac6AuO12 crystal (PBE).

Computed properties:
* E_form (uncorrected): -2.63 eV/atom

a b c (Å): 10.7260 10.7260 10.2698
angles (deg): 90.00 90.00 120.00
Space group R-3 (No. 148, hexagonal axes)
Asymmetric unit:
Ac 0.0522 0.7947 0.1541 (multiplicity 18)
Au 0.0000 0.0000 0.5000 (multiplicity 3)
O 0.0406 0.8113 0.9068 (multiplicity 18)
O 0.0437 0.8581 0.3958 (multiplicity 18)


(9)
Entry from the Alexandria database: a relaxed TiIn6Cl12 crystal (PBE).

Computed properties:
* E_form (uncorrected): -0.96 eV/atom

a b c (Å): 10.4225 10.4225 19.9459
angles (deg): 90.00 90.00 120.00
Space group R-3 (No. 148, hexagonal axes)
Asymmetric unit:
Ti 0.0000 0.0000 0.0000 (multiplicity 3)
In 0.0409 0.2067 0.6606 (multiplicity 18)
Cl 0.0165 0.4681 0.0889 (multiplicity 18)
Cl 0.0183 0.1978 0.9332 (multiplicity 18)


(10)
Entry from the Alexandria database: a relaxed BeGaAgB2 crystal (PBE).

Computed properties:
* energy relative to the elements: 1.757 eV per atom

a b c (Å): 4.028 4.028 5.533
angles (deg): 90.00 90.00 90.00
Space group P4/mmm (No. 123)
Asymmetric unit:
Be 0.000 0.000 0.000 (multiplicity 1)
Ga 0.500 0.500 0.000 (multiplicity 1)
Ag 0.500 0.500 0.500 (multiplicity 1)
B 0.000 0.500 0.500 (multiplicity 2)


(11)
Entry from the Alexandria database: a relaxed Ag3Sn3Hg crystal (PBE).

Computed properties:
* energy relative to the elements: 0.434 eV per atom

a b c (Å): 7.753 7.753 7.753
angles (deg): 90.00 90.00 90.00
Space group Pm-3n (No. 223)
Asymmetric unit:
Ag 0.000 0.250 0.500 (multiplicity 6)
Sn 0.000 0.500 0.250 (multiplicity 6)
Hg 0.000 0.000 0.000 (multiplicity 2)


(12)
Entry from the Alexandria database: a relaxed Fe4OsRh crystal (PBE).

Computed properties:
* energy relative to the elements: 0.103 eV per atom

a b c (Å): 6.615 6.615 6.615
angles (deg): 90.00 90.00 90.00
Space group F-43m (No. 216)
Asymmetric unit:
Fe 0.125 0.125 0.125 (multiplicity 16)
Os 0.000 0.000 0.500 (multiplicity 4)
Rh 0.250 0.250 0.750 (multiplicity 4)


no.,DOS at the Fermi energy (states/eV/f.u.)
1,8.1
2,6.7
3,7.7
4,6.1
5,4.4
6,1.4
7,1.4
8,20.4
9,12.8
10,2.2
11,6.2
12,6.1